# LiHfH8Ir2

An optimized crystal structure of LiHfH8Ir2 (GGA-PBE, Alexandria).

Cell and atoms, written as extended XYZ:
```
12
Lattice="-3.6791 -1.3008 1.5128 -0.0687 -1.5849 4.2596 -2.0124 3.7196 4.0938" Properties=species:S:1:pos:R:3 pbc="T T T"
Hf -2.8801 0.4169 4.9331
Ir -1.4143 -0.2385 2.1449
Ir -4.3459 1.0723 7.7213
H -3.0244 -1.1061 3.2725
H -4.6736 1.2851 4.3120
H -2.7708 1.9578 3.5295
H -0.9915 0.3555 3.6838
H -1.0865 -0.4512 5.5542
H -2.9894 -1.1240 6.3367
H -4.7687 0.4784 6.1824
H -2.7358 1.9399 6.5937
Li 0.0000 0.0000 0.0000
```

Output
Total energy = -4.83 eV/atom